1.
First-principles (PBE) data for an optimized crystal structure of Ta2BeW, as listed in the Alexandria database.

Unit cell a=3.4412 b=4.3431 c=8.2656 alpha=90.00 beta=90.00 gamma=90.00
Fractional coordinates of all 8 atoms:
Ta  0.0000  0.0000  0.0000
Ta  0.0000  0.5000  0.2912
Ta  0.5000  0.0000  0.2912
Ta  0.5000  0.5000  0.0000
Be  0.0000  0.0000  0.5135
Be  0.5000  0.5000  0.5135
W  0.0000  0.5000  0.7195
W  0.5000  0.0000  0.7195

Calculated values
**Symmetry**: Cmm2
**ΔH_f (0 K)**: 0.088 eV per atom
**VASP energy**: -80.1 eV/cell
**Total magnetic moment**: 0.00 μB/cell

=====

2.
First-principles (PBE) data for an optimized crystal structure of Na2AcSnBi2, as listed in the Alexandria database.

Unit cell a=5.3009 b=9.9102 c=7.4110 alpha=90.00 beta=90.00 gamma=90.00
Fractional coordinates of all 12 atoms:
Na  0.0000  0.0219  0.0000
Na  0.0000  0.9781  0.5000
Na  0.5000  0.1492  0.2785
Na  0.5000  0.8508  0.7785
Ac  0.5000  0.4880  0.9823
Ac  0.5000  0.5120  0.4823
Sn  0.0000  0.3271  0.7014
Sn  0.0000  0.6729  0.2014
Bi  0.0000  0.3283  0.2403
Bi  0.0000  0.6717  0.7403
Bi  0.5000  0.1724  0.7437
Bi  0.5000  0.8276  0.2437

Calculated values
**Symmetry**: Pmc2_1
**ΔH_f (0 K)**: -0.395 eV per atom
**VASP energy**: -41.8 eV/cell
**Total magnetic moment**: 0.00 μB/cell

=====

3.
First-principles (PBE) data for an optimized crystal structure of IrPd, as listed in the Alexandria database.

Unit cell a=4.7322 b=5.4990 c=9.2373 alpha=90.00 beta=90.00 gamma=90.00
Fractional coordinates of all 16 atoms:
Ir  0.1658  0.0131  0.3736
Ir  0.1666  0.2509  0.6256
Ir  0.3334  0.7491  0.1256
Ir  0.3342  0.9869  0.8736
Ir  0.6658  0.4869  0.6264
Ir  0.6666  0.2491  0.3744
Ir  0.8334  0.7509  0.8744
Ir  0.8342  0.5131  0.1264
Pd  0.1629  0.5016  0.3706
Pd  0.1628  0.7503  0.6246
Pd  0.3372  0.2497  0.1246
Pd  0.3371  0.4984  0.8706
Pd  0.6628  0.7497  0.3754
Pd  0.6629  0.9984  0.6294
Pd  0.8371  0.0016  0.1294
Pd  0.8372  0.2503  0.8754

Calculated values
**Symmetry**: P2_12_12_1
**ΔH_f (0 K)**: 0.234 eV per atom
**VASP energy**: -108.7 eV/cell
**Total magnetic moment**: 0.00 μB/cell

=====

4.
First-principles (PBE) data for an optimized crystal structure of CaPb3Au, as listed in the Alexandria database.

Unit cell a=5.6112 b=5.6112 c=5.6112 alpha=90.00 beta=90.00 gamma=90.00
Fractional coordinates of all 5 atoms:
Ca  0.0000  0.0000  0.0000
Pb  0.0000  0.5000  0.5000
Pb  0.5000  0.0000  0.5000
Pb  0.5000  0.5000  0.0000
Au  0.5000  0.5000  0.5000

Calculated values
**Energy relative to the lowest polymorph listed for this composition**: 0 kJ/mol of formula units
**Symmetry**: Pm-3m
**ΔH_f (0 K)**: 0.049 eV per atom
**VASP energy**: -16.2 eV/cell
**Total magnetic moment**: 0.00 μB/cell

=====

5.
First-principles (PBE) data for an optimized crystal structure of TaCoHRh2, as listed in the Alexandria database.

Unit cell a=3.8343 b=3.8343 c=4.0122 alpha=90.00 beta=90.00 gamma=90.00
Fractional coordinates of all 5 atoms:
Ta  0.0000  0.0000  0.0000
Co  0.5000  0.5000  0.0000
H  0.0000  0.0000  0.5000
Rh  0.0000  0.5000  0.5000
Rh  0.5000  0.0000  0.5000

Calculated values
**Energy relative to the lowest polymorph listed for this composition**: 62 kJ/mol of formula units
**Symmetry**: P4/mmm
**VASP energy**: -38.3 eV/cell
**Total magnetic moment**: 0.83 μB/cell

=====

6.
First-principles (PBE) data for an optimized crystal structure of Mn2NiAg, as listed in the Alexandria database.

Unit cell a=5.8847 b=5.8847 c=5.8847 alpha=90.00 beta=90.00 gamma=90.00
Fractional coordinates of all 16 atoms:
Mn  0.2500  0.2500  0.2500
Mn  0.2500  0.2500  0.7500
Mn  0.2500  0.7500  0.2500
Mn  0.2500  0.7500  0.7500
Mn  0.7500  0.2500  0.2500
Mn  0.7500  0.2500  0.7500
Mn  0.7500  0.7500  0.2500
Mn  0.7500  0.7500  0.7500
Ni  0.0000  0.0000  0.0000
Ni  0.0000  0.5000  0.5000
Ni  0.5000  0.0000  0.5000
Ni  0.5000  0.5000  0.0000
Ag  0.0000  0.0000  0.5000
Ag  0.0000  0.5000  0.0000
Ag  0.5000  0.0000  0.0000
Ag  0.5000  0.5000  0.5000

Calculated values
**Energy relative to the lowest polymorph listed for this composition**: 262 kJ/mol of formula units
**Symmetry**: Fm-3m
**ΔH_f (0 K)**: 0.826 eV per atom
**VASP energy**: -94.7 eV/cell
**Total magnetic moment**: 0.00 μB/cell

=====

7.
First-principles (PBE) data for an optimized crystal structure of Tm8Bi2Sb, as listed in the Alexandria database.

Unit cell a=9.5050 b=9.5050 c=6.7578 alpha=92.36 beta=92.36 gamma=31.44
Fractional coordinates of all 11 atoms:
Tm  0.0339  0.0339  0.2452
Tm  0.2173  0.2173  0.1344
Tm  0.3395  0.3395  0.5934
Tm  0.4084  0.4084  0.0661
Tm  0.5916  0.5916  0.9339
Tm  0.6605  0.6605  0.4066
Tm  0.7827  0.7827  0.8656
Tm  0.9661  0.9661  0.7548
Bi  0.1656  0.1656  0.6741
Bi  0.8344  0.8344  0.3259
Sb  0.5000  0.5000  0.5000

Calculated values
**Symmetry**: C2/m
**VASP energy**: -52.2 eV/cell
**Total magnetic moment**: 0.00 μB/cell
**Formation energy (no corrections)**: -0.41 eV/atom

=====

8.
First-principles (PBE) data for an optimized crystal structure of Li4YGe2, as listed in the Alexandria database.

Unit cell a=7.5816 b=7.5816 c=4.3363 alpha=90.00 beta=90.00 gamma=90.00
Fractional coordinates of all 14 atoms:
Li  0.1045  0.3491  0.0000
Li  0.1509  0.6045  0.5000
Li  0.3491  0.1045  0.0000
Li  0.3955  0.8491  0.5000
Li  0.6045  0.1509  0.5000
Li  0.6509  0.8955  0.0000
Li  0.8491  0.3955  0.5000
Li  0.8955  0.6509  0.0000
Y  0.0000  0.0000  0.5000
Y  0.5000  0.5000  0.0000
Ge  0.2105  0.7895  0.0000
Ge  0.2895  0.2895  0.5000
Ge  0.7105  0.7105  0.5000
Ge  0.7895  0.2105  0.0000

Calculated values
**Symmetry**: P4_2/mnm
**ΔH_f (0 K)**: -0.476 eV per atom
**VASP energy**: -53.4 eV/cell
**Total magnetic moment**: 0.00 μB/cell

=====

9.
First-principles (PBE) data for an optimized crystal structure of Zn2Ag, as listed in the Alexandria database.

Unit cell a=4.5549 b=4.5549 c=5.3351 alpha=90.00 beta=90.00 gamma=120.00
Fractional coordinates of all 6 atoms:
Zn  0.0000  0.0000  0.0000
Zn  0.0000  0.0000  0.5000
Zn  0.3333  0.6667  0.2500
Zn  0.6667  0.3333  0.7500
Ag  0.3333  0.6667  0.7500
Ag  0.6667  0.3333  0.2500

Calculated values
**Symmetry**: P6_3/mmc
**ΔH_f (0 K)**: 0.047 eV per atom
**VASP energy**: -10.5 eV/cell
**Total magnetic moment**: 0.00 μB/cell

=====

10.
First-principles (PBE) data for an optimized crystal structure of HfMgTc2N, as listed in the Alexandria database.

Unit cell a=4.7220 b=4.7220 c=5.4712 alpha=90.00 beta=90.00 gamma=90.00
Fractional coordinates of all 5 atoms:
Hf  0.0000  0.0000  0.0000
Mg  0.0000  0.0000  0.5000
Tc  0.0000  0.5000  0.0000
Tc  0.5000  0.0000  0.0000
N  0.5000  0.5000  0.5000

Calculated values
**Symmetry**: P4/mmm
**VASP energy**: -27.3 eV/cell
**Total magnetic moment**: 3.36 μB/cell
**Formation energy (no corrections)**: 2.66 eV/atom

=====

11.
First-principles (PBE) data for an optimized crystal structure of LiPrAlIr, as listed in the Alexandria database.

Unit cell a=6.7169 b=6.7169 c=6.7169 alpha=90.00 beta=90.00 gamma=90.00
Fractional coordinates of all 16 atoms:
Li  0.0000  0.0000  0.0000
Li  0.0000  0.5000  0.5000
Li  0.5000  0.0000  0.5000
Li  0.5000  0.5000  0.0000
Pr  0.2500  0.2500  0.7500
Pr  0.2500  0.7500  0.2500
Pr  0.7500  0.2500  0.2500
Pr  0.7500  0.7500  0.7500
Al  0.2500  0.2500  0.2500
Al  0.2500  0.7500  0.7500
Al  0.7500  0.2500  0.7500
Al  0.7500  0.7500  0.2500
Ir  0.0000  0.0000  0.5000
Ir  0.0000  0.5000  0.0000
Ir  0.5000  0.0000  0.0000
Ir  0.5000  0.5000  0.5000

Calculated values
**Symmetry**: F-43m
**ΔH_f (0 K)**: -0.424 eV per atom
**VASP energy**: -84.0 eV/cell
**Total magnetic moment**: 0.00 μB/cell

=====

12.
First-principles (PBE) data for an optimized crystal structure of CsPbS2Cl, as listed in the Alexandria database.

Unit cell a=5.6206 b=5.6206 c=6.0344 alpha=90.00 beta=90.00 gamma=90.00
Fractional coordinates of all 5 atoms:
Cs  0.0000  0.0000  0.0000
Pb  0.5000  0.5000  0.5000
S  0.0000  0.5000  0.0000
S  0.5000  0.0000  0.0000
Cl  0.0000  0.0000  0.5000

Calculated values
**Energy relative to the lowest polymorph listed for this composition**: 483 kJ/mol of formula units
**Symmetry**: P4/mmm
**VASP energy**: -12.7 eV/cell
**Total magnetic moment**: 0.00 μB/cell
**Formation energy (no corrections)**: 0.39 eV/atom